No. 1
Computed, not measured: a relaxed structure of LiFeMo2 at the GGA-PBE level of DFT.

## Properties
**Relative energy among the computed polymorphs**: 0 meV per atom
**Fermi-level density of states**: 0.76 states/eV/atom
**Formation energy**: 0.23 eV/atom

a = 2.6387 Å, b = 2.6387 Å, c = 8.9035 Å
α = 90.00°, β = 90.00°, γ = 107.66°
Last column: nearest neighbours and their distance in Å.
Fractional positions:
1 Fe 0.0000 0.0000 0.4936  2 Mo 2.57, 4 Fe 2.64, 2 Li 2.67
2 Li 0.5000 0.5000 0.7368  4 Li 2.64, 2 Fe 2.67, 2 Mo 2.86
3 Mo 0.0000 0.0000 0.0060  6 Mo 2.64-2.77, 2 Li 2.86
4 Mo 0.5000 0.5000 0.2636  2 Fe 2.57, 6 Mo 2.64-2.77

No. 2
Computed, not measured: a relaxed structure of LiFeMo2 at the GGA-PBE level of DFT.

## Properties
**Relative energy among the computed polymorphs**: 139 meV per atom
**Fermi-level density of states**: 1.00 states/eV/atom
**Formation energy**: 0.37 eV/atom

a = 9.4024 Å, b = 9.4024 Å, c = 9.4024 Å
α = 16.48°, β = 16.48°, γ = 16.48°
Last column: nearest neighbours and their distance in Å.
Fractional positions:
1 Fe 0.2500 0.2500 0.2500  6 Mo 2.62, 6 Fe 2.69
2 Li 0.7500 0.7500 0.7500  6 Li 2.69, 6 Mo 2.97
3 Mo 0.9925 0.9925 0.9925  3 Fe 2.62, 6 Mo 2.69
4 Mo 0.5075 0.5075 0.5075  3 Fe 2.62, 6 Mo 2.69

No. 3
Computed, not measured: a relaxed structure of LiFe2Mo2 at the GGA-PBE level of DFT.

## Properties
**Relative energy among the computed polymorphs**: 52 meV per atom
**Fermi-level density of states**: 0.71 states/eV/atom
**Formation energy**: 0.30 eV/atom

a = 7.2870 Å, b = 7.2870 Å, c = 2.6532 Å
α = 90.00°, β = 90.00°, γ = 90.00°
Last column: nearest neighbours and their distance in Å.
Fractional positions:
1 Mo 0.3480 0.8480 0.0000  6 Fe 2.51-2.52, 2 Mo 2.65, 2 Li 2.77
2 Mo 0.8480 0.6520 0.0000  6 Fe 2.51-2.52, 2 Mo 2.65, 2 Li 2.77
3 Mo 0.6520 0.1520 0.0000  6 Fe 2.51-2.52, 2 Mo 2.65, 2 Li 2.77
4 Mo 0.1520 0.3480 0.0000  6 Fe 2.51-2.52, 2 Mo 2.65, 2 Li 2.77
5 Fe 0.1416 0.6416 0.5000  6 Mo 2.51-2.52, 2 Fe 2.65
6 Fe 0.6416 0.8584 0.5000  6 Mo 2.51-2.52, 2 Fe 2.65
7 Fe 0.8584 0.3584 0.5000  6 Mo 2.51-2.52, 2 Fe 2.65
8 Fe 0.3584 0.1416 0.5000  6 Mo 2.51-2.52, 2 Fe 2.65
9 Li 0.0000 0.0000 0.0000  2 Li 2.65, 4 Mo 2.77
10 Li 0.5000 0.5000 0.0000  2 Li 2.65, 4 Mo 2.77

No. 4
Computed, not measured: a relaxed structure of LiFeMo2 at the GGA-PBE level of DFT.

## Properties
**Relative energy among the computed polymorphs**: 216 meV per atom
**Fermi-level density of states**: 0.90 states/eV/atom
**Formation energy**: 0.45 eV/atom

a = 3.2253 Å, b = 3.2253 Å, c = 5.3574 Å
α = 90.00°, β = 90.00°, γ = 90.00°
Last column: nearest neighbours and their distance in Å.
Fractional positions:
1 Fe 0.5000 0.5000 0.2500  8 Mo 2.59, 2 Li 2.68
2 Li 0.5000 0.5000 0.7500  2 Fe 2.68, 8 Mo 2.70
3 Mo 0.0000 0.0000 0.0200  1 Mo 2.46, 4 Fe 2.59, 4 Li 2.70
4 Mo 0.0000 0.0000 0.4800  1 Mo 2.46, 4 Fe 2.59, 4 Li 2.70

No. 5
Computed, not measured: a relaxed structure of Na2LiFeMo at the GGA-PBE level of DFT.

## Properties
**Fermi-level density of states**: 2.65 states/eV/atom
**Formation energy**: 1.84 eV/atom

a = 5.6405 Å, b = 5.0201 Å, c = 5.6405 Å
α = 90.00°, β = 90.00°, γ = 90.00°
Last column: nearest neighbours and their distance in Å.
Fractional positions:
1 Na 0.0000 0.0000 0.5000  2 Mo 2.82
2 Na 0.5000 0.0000 0.0000  2 Mo 2.82
3 Mo 0.0000 0.0000 0.0000  2 Li 2.51
4 Fe 0.5000 0.5000 0.5000  8 Na 3.78, 4 Li 3.99
5 Li 0.0000 0.5000 0.0000  2 Mo 2.51